TaCoTc2: optimized geometry, PBE.

a = 3.147 Å, b = 4.326 Å, c = 8.688 Å
α = 90.00°, β = 90.00°, γ = 90.00°
Space group Immm (No. 71)
Unique sites:
1 Ta 0.000 0.000 0.000 [2 per cell]
2 Co 0.000 0.000 0.500 [2 per cell]
3 Tc 0.000 0.500 0.255 [4 per cell]

Computed properties:
- Mass density: 12239 kg/m3
- Energy relative to the elements: 45 meV per atom
- DOS at the Fermi energy: 1.136 states/eV/atom
- ΔE to the lowest computed polymorph: 40 kJ/mol of formula units